VASP calculation (SCAN) on a crystal of SbPdIO2 relaxed with PBEsol.

Values from the calculation:
The calculation puts the spin magnetization at 0.00 μB per formula unit. As for the energy relative to the lowest polymorph listed for this composition: 720 meV per atom. As for the uncorrected formation energy: 1.6 eV/f.u. The space group is P4/mmm.

abc: 4.1969 4.1969 5.0282
angles: 90.00 90.00 90.00
Last column: nearest neighbours and their distance in Å.
Element x y z (fractional)
Sb 0.0000 0.0000 0.0000  4 I 2.97, 8 O 3.27
Pd 0.5000 0.5000 0.5000  4 O 2.10
I 0.5000 0.5000 0.0000  2 Pd 2.51
O 0.0000 0.5000 0.5000  2 Pd 2.10
O 0.5000 0.0000 0.5000  2 Pd 2.10